1.
HgBMoBr2 GGA-PBEsol optimized geometry; theoretical density = 7.050 g cm⁻³; ΔE_f (raw) = 0.651 eV/atom; E_tot = -19.835 eV for the cell shown
1.0
5.1211 0.0000 0.0000
0.0000 5.1211 0.0000
0.0000 0.0000 4.1957
Hg B Mo Br
1 1 1 2
Direct
0.0000 0.0000 0.0000
0.5000 0.5000 0.0000
0.5000 0.5000 0.5000
0.0000 0.5000 0.5000
0.5000 0.0000 0.5000

=====

2.
Cs2NaTiF6 GGA-PBEsol optimized geometry; theoretical density = 4.346 g cm⁻³; ΔE_f (raw) = -3.062 eV/atom; E_tot = -107.593 eV for the cell shown
1.0
3.1245 1.8039 10.1837
-3.1245 1.8039 10.1837
0.0000 -3.6078 10.1837
Cs Na Ti F
4 2 2 12
Direct
0.1276 0.1276 0.1276
0.2819 0.2819 0.2819
0.7181 0.7181 0.7181
0.8724 0.8724 0.8724
0.4034 0.4034 0.4034
0.5966 0.5966 0.5966
0.0000 0.0000 0.0000
0.5000 0.5000 0.5000
0.1692 0.6070 0.6070
0.1872 0.1872 0.7359
0.1872 0.7359 0.1872
0.2641 0.8128 0.8128
0.3930 0.3930 0.8308
0.3930 0.8308 0.3930
0.6070 0.1692 0.6070
0.6070 0.6070 0.1692
0.7359 0.1872 0.1872
0.8128 0.2641 0.8128
0.8128 0.8128 0.2641
0.8308 0.3930 0.3930

=====

3.
CrSb2Au GGA-PBEsol optimized geometry; theoretical density = 10.051 g cm⁻³; ΔE_f (raw) = 0.293 eV/atom; E_tot = -22.109 eV for the cell shown
1.0
-2.0644 2.0644 4.7731
2.0644 -2.0644 4.7731
2.0644 2.0644 -4.7731
Cr Sb Au
1 2 1
Direct
0.0000 0.0000 0.0000
0.5000 0.5000 0.0000
0.7500 0.2500 0.5000
0.2500 0.7500 0.5000

=====

4.
ZnNiH2Os GGA-PBEsol optimized geometry; theoretical density = 10.273 g cm⁻³; E_tot = -21.737 eV for the cell shown
1.0
3.3741 0.0000 0.0000
0.0000 3.3741 0.0000
0.0000 0.0000 4.4918
Zn Ni H Os
1 1 2 1
Direct
0.0000 0.0000 0.0000
0.0000 0.0000 0.5000
0.0000 0.5000 0.5000
0.5000 0.0000 0.5000
0.5000 0.5000 0.0000

=====

5.
Li3HgF GGA-PBEsol optimized geometry; theoretical density = 5.864 g cm⁻³; ΔE_f (raw) = -1.267 eV/atom; E_tot = -14.731 eV for the cell shown
1.0
4.0832 0.0000 0.0000
0.0000 4.0832 0.0000
0.0000 0.0000 4.0832
Li Hg F
3 1 1
Direct
0.0000 0.0000 0.5000
0.0000 0.5000 0.0000
0.5000 0.0000 0.0000
0.5000 0.5000 0.5000
0.0000 0.0000 0.0000

=====

6.
Ba2TeOs GGA-PBEsol optimized geometry; theoretical density = 6.711 g cm⁻³; ΔE_f (raw) = 0.247 eV/atom; E_tot = -19.051 eV for the cell shown
1.0
2.2913 1.3229 8.0604
-2.2913 1.3229 8.0604
0.0000 -2.6458 8.0604
Ba Te Os
2 1 1
Direct
0.2447 0.2447 0.2447
0.7553 0.7553 0.7553
0.0000 0.0000 0.0000
0.5000 0.5000 0.5000

=====

7.
CdInHg2 GGA-PBEsol optimized geometry; formation enthalpy at 0 K = -0.024 eV/atom; theoretical density = 11.314 g cm⁻³; E_tot = -5.409 eV for the cell shown
1.0
4.5858 -1.7694 0.0000
4.5858 1.7694 0.0000
-1.1880 0.0000 5.6833
Cd In Hg
1 1 2
Direct
0.0000 0.0000 0.0000
0.5000 0.5000 0.5000
0.2522 0.2522 0.7593
0.7478 0.7478 0.2407

=====

8.
Mg2TaCo GGA-PBEsol optimized geometry; formation enthalpy at 0 K = 0.346 eV/atom; theoretical density = 7.412 g cm⁻³; excess energy over the best structure of this formula in the dataset = 0 meV/atom; E_tot = -22.339 eV for the cell shown
1.0
2.7938 0.0000 0.0000
0.0000 2.7938 0.0000
0.0000 0.0000 8.2807
Mg Ta Co
2 1 1
Direct
0.0000 0.0000 0.2177
0.0000 0.0000 0.7823
0.5000 0.5000 0.5000
0.5000 0.5000 0.0000

=====

9.
ZrAs3I GGA-PBEsol optimized geometry; theoretical density = 5.463 g cm⁻³; ΔE_f (raw) = 1.202 eV/atom; E_tot = -20.166 eV for the cell shown
1.0
5.1253 0.0000 0.0000
0.0000 5.1253 0.0000
0.0000 0.0000 5.1253
Zr As I
1 3 1
Direct
0.0000 0.0000 0.0000
0.0000 0.5000 0.5000
0.5000 0.0000 0.5000
0.5000 0.5000 0.0000
0.5000 0.5000 0.5000

=====

10.
BeCr3W GGA-PBEsol optimized geometry; formation enthalpy at 0 K = 0.862 eV/atom; theoretical density = 9.706 g cm⁻³; E_tot = -44.224 eV for the cell shown
1.0
3.9080 0.0000 0.0000
0.0000 3.9080 0.0000
0.0000 0.0000 3.9080
Be Cr W
1 3 1
Direct
0.0000 0.0000 0.0000
0.0000 0.0000 0.5000
0.0000 0.5000 0.0000
0.5000 0.0000 0.0000
0.5000 0.5000 0.5000

=====

11.
LiLa2I GGA-PBEsol optimized geometry; theoretical density = 5.535 g cm⁻³; ΔE_f (raw) = -0.194 eV/atom; E_tot = -30.405 eV for the cell shown
1.0
-4.3617 4.3617 3.2456
4.3617 -4.3617 3.2456
4.3617 4.3617 -3.2456
Li La I
2 4 2
Direct
0.0000 0.0000 0.0000
0.7500 0.2500 0.5000
0.1366 0.6250 0.0116
0.3750 0.3866 0.5116
0.6134 0.1250 0.9884
0.8750 0.8634 0.4884
0.2500 0.7500 0.5000
0.5000 0.5000 0.0000

=====

12.
SrNi2Te GGA-PBEsol optimized geometry; theoretical density = 7.632 g cm⁻³; ΔE_f (raw) = -0.033 eV/atom; excess energy over the best structure of this formula in the dataset = 343 meV/atom; E_tot = -17.812 eV for the cell shown
1.0
2.3800 1.3741 3.6880
-2.3800 1.3741 3.6880
0.0000 -2.7482 3.6880
Sr Ni Te
1 2 1
Direct
0.0000 0.0000 0.0000
0.2686 0.2686 0.2686
0.7314 0.7314 0.7314
0.5000 0.5000 0.5000

=====

What did the fourth record say?
ZnNiH2Os GGA-PBEsol optimized geometry; theoretical density = 10.273 g cm⁻³; E_tot = -21.737 eV for the cell shown
1.0
3.3741 0.0000 0.0000
0.0000 3.3741 0.0000
0.0000 0.0000 4.4918
Zn Ni H Os
1 1 2 1
Direct
0.0000 0.0000 0.0000
0.0000 0.0000 0.5000
0.0000 0.5000 0.5000
0.5000 0.0000 0.5000
0.5000 0.5000 0.0000